LiBTe2I | PBE | relaxed Values from VASP.

Structure (Quantum ESPRESSO input):
```
&SYSTEM
  ibrav = 0, nat = 5, ntyp = 4
/
ATOMIC_SPECIES
Te 127.60 Te.upf
I 126.90 I.upf
Li 6.94 Li.upf
B 10.81 B.upf
CELL_PARAMETERS angstrom
5.0798 0.0000 0.0000
0.0000 5.0798 0.0000
0.0000 0.0000 5.4837
ATOMIC_POSITIONS angstrom
Te 2.5399 0.0000 0.0000
Te 0.0000 2.5399 0.0000
I 0.0000 0.0000 2.7418
Li 0.0000 0.0000 0.0000
B 2.5399 2.5399 2.7418
```

Summary:
excess energy over the best structure of this formula in the dataset = 696 meV/atom
crystal system = tetragonal
spin magnetization = 0.00 μB/cell